DFT (PBE-GGA) results for a relaxed structure of CuSbI2Cl.

POSCAR file:
```
CuSbI2Cl
1.0
6.320 0.000 0.000
0.000 6.320 0.000
0.000 0.000 5.084
I Sb Cl Cu
2 1 1 1
Direct
0.500 0.000 0.000
0.000 0.500 0.000
0.000 0.000 0.500
0.000 0.000 0.000
0.500 0.500 0.500
```

Computed properties:
The uncorrected formation energy comes out at 0.90 eV per atom. The calculation puts the mass density at 3.88 Mg/m³. The energy above the most stable polymorph in this dataset is 0.650 eV per atom. As for the density of states at the Fermi level: 4.2 states/eV per cell.